# 1
# AlGa2Fe

A relaxed structure of AlGa2Fe (PBE-GGA, Alexandria).

## Properties
* calculated volume: 16.43 A^3/atom
* formation enthalpy at 0 K: 0.28 eV/atom

Cell lengths 2.7444, 2.7444, 30.2321 Å; angles 90.00, 90.00, 120.00 degrees
With the nearest neighbours (Å) after each atom.
Space group R-3m (No. 166, hexagonal axes)
Symmetry-distinct sites (fractional):
Al  0.0000  0.0000  0.0000  6 Al 2.74, 6 Ga 3.01
Ga  0.0000  0.0000  0.4179  1 Fe 2.48, 6 Ga 2.74
Fe  0.0000  0.0000  0.5000  2 Ga 2.48, 6 Fe 2.74

# 2
# AlGaFe2

A relaxed structure of AlGaFe2 (PBE-GGA, Alexandria).

## Properties
* calculated volume: 11.96 A^3/atom
* formation enthalpy at 0 K: -0.19 eV/atom

Cell lengths 5.7629, 5.7629, 5.7629 Å; angles 90.00, 90.00, 90.00 degrees
With the nearest neighbours (Å) after each atom.
Space group Fm-3m (No. 225)
Symmetry-distinct sites (fractional):
Al  0.0000  0.0000  0.0000  8 Fe 2.50
Ga  0.0000  0.0000  0.5000  8 Fe 2.50
Fe  0.2500  0.2500  0.2500  4 Al 2.50, 4 Ga 2.50